{
  "formula": "Cs2KFeF6",
  "functional": "PBE with a Hubbard U",
  "state": "relaxed",
  "crystal_system": "trigonal",
  "sg": "R-3m, No. 166",
  "energy_ev_per_atom": -4.5016,
  "total_magnetization_mub_per_cell": 1.00,
  "cell": [[3.216, 1.857, 5.254], [-3.216, 1.857, 5.254], [0.000, -3.714, 5.254]],
  "species": ["Cs", "Cs", "K", "Fe", "F", "F", "F", "F", "F", "F"],
  "frac_coords": [[0.250, 0.250, 0.250], [0.750, 0.750, 0.750], [0.500, 0.500, 0.500], [0.000, 0.000, 0.000], [0.212, 0.212, 0.787], [0.212, 0.787, 0.212], [0.213, 0.788, 0.788], [0.787, 0.212, 0.212], [0.788, 0.213, 0.788], [0.788, 0.788, 0.213]]
}